DFT (PBE) results for an optimized crystal structure of CsIF3.

**Crystal system**: trigonal
**Energy**: -2.9730 eV/atom
**Space group**: R3m, No. 160

Lattice parameters (Å, degrees): 5.7942 5.7942 5.7942 88.08 88.08 88.08
Last column: nearest neighbours and their distance in Å.
Sites, in units of the cell vectors:
Cs 0.0000 0.0000 0.0000  6 F 2.93-3.17
I 0.3735 0.3735 0.3735  3 F 2.28
F 0.1137 0.1137 0.5138  1 I 2.28
F 0.1137 0.5138 0.1137  1 I 2.28
F 0.5138 0.1137 0.1137  1 I 2.28


DFT (PBE) results for an optimized crystal structure of Cs3IF2.

**Crystal system**: orthorhombic
**Energy**: -3.5893 eV/atom
**Space group**: Pmmn, No. 59

Lattice parameters (Å, degrees): 5.0522 15.3100 6.0870 90.00 90.00 90.00
Last column: nearest neighbours and their distance in Å.
Sites, in units of the cell vectors:
Cs 0.2500 0.0382 0.2498  4 F 2.93-3.06
Cs 0.2500 0.2500 0.7494  2 F 2.92
Cs 0.2500 0.4618 0.2498  4 F 2.93-3.06
Cs 0.7500 0.5382 0.7502  4 F 2.93-3.06
Cs 0.7500 0.7500 0.2506  2 F 2.92
Cs 0.7500 0.9618 0.7502  4 F 2.93-3.06
I 0.2500 0.7500 0.7508  8 Cs 3.95-4.11
I 0.7500 0.2500 0.2492  8 Cs 3.95-4.11
F 0.2500 0.0590 0.7494  5 Cs 2.92-3.06
F 0.2500 0.4410 0.7494  5 Cs 2.92-3.06
F 0.7500 0.5590 0.2506  5 Cs 2.92-3.06
F 0.7500 0.9410 0.2506  5 Cs 2.92-3.06


DFT (PBE) results for an optimized crystal structure of CsIF4.

**Crystal system**: orthorhombic
**Energy**: -3.3274 eV/atom
**Space group**: Cmcm, No. 63

Lattice parameters (Å, degrees): 8.0630 8.0630 6.7722 90.00 90.00 144.60
Last column: nearest neighbours and their distance in Å.
Sites, in units of the cell vectors:
Cs 0.1091 0.8909 0.7500  5 F 3.02-3.25
Cs 0.8909 0.1091 0.2500  5 F 3.02-3.25
I 0.3865 0.6135 0.7500  2 F 2.07
I 0.6135 0.3865 0.2500  2 F 2.07
F 0.1026 0.8974 0.2500  2 I 2.46
F 0.3302 0.6698 0.0277  1 I 2.07
F 0.3302 0.6698 0.4723  1 I 2.07
F 0.5000 0.5000 0.0000  2 I 2.43, 2 F 2.62
F 0.5000 0.5000 0.5000  2 I 2.43, 2 F 2.62
F 0.6698 0.3302 0.5277  1 I 2.07
F 0.6698 0.3302 0.9723  1 I 2.07
F 0.8974 0.1026 0.7500  2 I 2.46


DFT (PBE) results for an optimized crystal structure of Cs2IF.

**Crystal system**: trigonal
**Energy**: -3.3108 eV/atom
**Space group**: R-3m, No. 166

Lattice parameters (Å, degrees): 8.8081 8.8081 8.8081 31.61 31.61 31.61
Last column: nearest neighbours and their distance in Å.
Sites, in units of the cell vectors:
Cs 0.2302 0.2302 0.2302  3 F 3.20
Cs 0.7698 0.7698 0.7698  3 F 3.20
I 0.0000 0.0000 0.0000  6 Cs 3.79
F 0.5000 0.5000 0.5000  6 Cs 3.20


DFT (PBE) results for an optimized crystal structure of Cs2I2F.

**Crystal system**: tetragonal
**Energy**: -2.6538 eV/atom
**Space group**: I4/mmm, No. 139

Lattice parameters (Å, degrees): 10.3365 10.3365 10.3365 152.41 152.41 39.42
Last column: nearest neighbours and their distance in Å.
Sites, in units of the cell vectors:
Cs 0.0981 0.0981 0.0000  1 Cs 3.82, 4 I 3.85, 4 F 3.97
Cs 0.9019 0.9019 0.0000  1 Cs 3.82, 4 I 3.85, 4 F 3.97
I 0.2500 0.7500 0.5000  4 I 3.49, 4 Cs 3.85
I 0.7500 0.2500 0.5000  4 I 3.49, 4 Cs 3.85
F 0.5000 0.5000 0.0000  8 Cs 3.97


DFT (PBE) results for an optimized crystal structure of CsI3F.

**Crystal system**: tetragonal
**Energy**: -2.1676 eV/atom
**Space group**: P4/mmm, No. 123

Lattice parameters (Å, degrees): 6.8191 6.8191 4.3317 90.00 90.00 90.00
Last column: nearest neighbours and their distance in Å.
Sites, in units of the cell vectors:
Cs 0.0000 0.0000 0.0000  8 I 4.04, 2 Cs 4.33
I 0.0000 0.5000 0.5000  2 F 3.41
I 0.5000 0.0000 0.5000  2 F 3.41
I 0.5000 0.5000 0.0000  2 F 2.17
F 0.5000 0.5000 0.5000  2 I 2.17


no.,uncorrected formation energy (eV per atom),M_tot (μB per atom)
1,-1.369,0.60
2,-2.280,0.00
3,-1.679,0.00
4,-2.029,0.00
5,-1.318,0.00
6,-0.693,0.15